# 1
Compound: TbBiAu2O8
Source: Alexandria via LeMat-Bulk
Functional: PBE
Structure: relaxed

## Properties
E   -5.286 eV/atom
Magnetic moment   0.18 μB/atom
E_form (uncorrected)   -0.725 eV/atom

a b c (Å): 5.526 5.526 6.496
angles (deg): 115.17 115.17 90.00
Positions (direct):
1 Tb 0.000 0.000 0.000
2 Bi 0.750 0.250 0.500
3 Au 0.500 0.500 0.000
4 Au 0.250 0.750 0.500
5 O 0.664 0.874 0.083
6 O 0.419 0.209 0.083
7 O 0.620 0.650 0.589
8 O 0.969 0.938 0.589
9 O 0.062 0.380 0.411
10 O 0.350 0.031 0.411
11 O 0.126 0.581 0.917
12 O 0.791 0.336 0.917

# 2
Compound: TlBi2Au2O6
Source: Alexandria via LeMat-Bulk
Functional: PBE
Structure: relaxed

## Properties
E   -4.757 eV/atom
Magnetic moment   0.00 μB/atom
E_form (uncorrected)   -0.536 eV/atom

a b c (Å): 6.375 5.882 7.338
angles (deg): 122.00 78.63 73.95
Positions (direct):
1 Tl 0.500 0.000 0.500
2 Bi 0.836 0.355 0.828
3 Bi 0.164 0.645 0.172
4 Au 0.279 0.692 0.706
5 Au 0.721 0.308 0.294
6 O 0.441 0.578 0.878
7 O 0.042 0.291 0.050
8 O 0.094 0.850 0.568
9 O 0.958 0.709 0.950
10 O 0.906 0.150 0.432
11 O 0.559 0.422 0.122

# 3
Compound: YBiAu2O8
Source: Alexandria via LeMat-Bulk
Functional: PBE
Structure: relaxed

## Properties
E   -5.432 eV/atom
Magnetic moment   0.18 μB/atom
E_form (uncorrected)   -0.718 eV/atom

a b c (Å): 5.520 5.520 6.496
angles (deg): 115.15 115.15 90.00
Positions (direct):
1 Y 0.000 0.000 0.000
2 Bi 0.750 0.250 0.500
3 Au 0.500 0.500 0.000
4 Au 0.250 0.750 0.500
5 O 0.666 0.874 0.083
6 O 0.417 0.210 0.083
7 O 0.620 0.650 0.588
8 O 0.969 0.938 0.588
9 O 0.062 0.380 0.412
10 O 0.350 0.031 0.412
11 O 0.126 0.583 0.917
12 O 0.790 0.334 0.917

# 4
Compound: ZnBiAuO2
Source: Alexandria via LeMat-Bulk
Functional: PBE
Structure: relaxed

## Properties
E   -3.757 eV/atom
Magnetic moment   0.00 μB/atom
E_form (uncorrected)   -0.088 eV/atom

a b c (Å): 4.176 5.926 4.176
angles (deg): 90.00 90.00 90.00
Positions (direct):
1 Zn 0.500 0.500 0.500
2 Au 0.000 0.500 0.000
3 Bi 0.000 0.000 0.000
4 O 0.000 0.000 0.500
5 O 0.500 0.000 0.000

# 5
Compound: BiOsAu3
Source: Alexandria via LeMat-Bulk
Functional: PBE
Structure: relaxed

## Properties
E   -3.926 eV/atom
Magnetic moment   0.00 μB/atom
Calculated formation energy   1.063 eV per atom

a b c (Å): 5.021 5.021 5.021
angles (deg): 90.00 90.00 90.00
Positions (direct):
1 Os 0.000 0.000 0.000
2 Au 0.000 0.500 0.000
3 Au 0.000 0.000 0.500
4 Au 0.500 0.000 0.000
5 Bi 0.500 0.500 0.500

# 6
Compound: Bi2OsAu
Source: Alexandria via LeMat-Bulk
Functional: PBE
Structure: relaxed

## Properties
E   -4.867 eV/atom
Magnetic moment   0.00 μB/atom
Calculated formation energy   0.700 eV per atom

a b c (Å): 4.986 4.986 4.986
angles (deg): 60.00 60.00 60.00
Positions (direct):
1 Os 0.000 0.000 0.000
2 Au 0.500 0.500 0.500
3 Bi 0.250 0.250 0.250
4 Bi 0.750 0.750 0.750